[1]
Material: TiCu3Ni
Method: DFT, PBE
State: optimized geometry

```
data_TiCu3Ni
_chemical_formula_sum 'Ti1 Cu3 Ni1'
_space_group_name_H-M_alt 'P 1'
_space_group_IT_number 1
_cell_length_a 4.318
_cell_length_b 4.318
_cell_length_c 4.318
_cell_angle_alpha 90.00
_cell_angle_beta 90.00
_cell_angle_gamma 90.00
loop_
_space_group_symop_operation_xyz
'x,y,z'
loop_
_atom_site_label
_atom_site_type_symbol
_atom_site_fract_x
_atom_site_fract_y
_atom_site_fract_z
Ti1 Ti 0.000 0.000 0.000
Cu1 Cu 0.000 0.500 0.500
Cu2 Cu 0.500 0.000 0.500
Cu3 Cu 0.500 0.500 0.000
Ni1 Ni 0.500 0.500 0.500
```

Values from the calculation:
- ΔE_f (meV per atom) = 790.0
- mass density (kg/m3) = 6128
- energy above the lowest structure with this stoichiometry (meV per atom) = 0

[2]
Material: Ti3CuNi6
Method: DFT, PBE
State: optimized geometry

```
data_Ti3CuNi6
_chemical_formula_sum 'Ti6 Cu2 Ni12'
_space_group_name_H-M_alt 'P 1'
_space_group_IT_number 1
_cell_length_a 8.040
_cell_length_b 8.040
_cell_length_c 4.352
_cell_angle_alpha 90.00
_cell_angle_beta 90.00
_cell_angle_gamma 115.44
loop_
_space_group_symop_operation_xyz
'x,y,z'
loop_
_atom_site_label
_atom_site_type_symbol
_atom_site_fract_x
_atom_site_fract_y
_atom_site_fract_z
Ti1 Ti 0.104 0.896 0.500
Ti2 Ti 0.231 0.429 0.101
Ti3 Ti 0.429 0.231 0.601
Ti4 Ti 0.571 0.769 0.101
Ti5 Ti 0.769 0.571 0.601
Ti6 Ti 0.896 0.104 0.000
Cu1 Cu 0.289 0.711 0.459
Cu2 Cu 0.711 0.289 0.959
Ni1 Ni 0.035 0.461 0.708
Ni2 Ni 0.104 0.206 0.532
Ni3 Ni 0.206 0.104 0.032
Ni4 Ni 0.213 0.787 0.957
Ni5 Ni 0.454 0.546 0.626
Ni6 Ni 0.461 0.035 0.208
Ni7 Ni 0.539 0.965 0.708
Ni8 Ni 0.546 0.454 0.126
Ni9 Ni 0.787 0.213 0.457
Ni10 Ni 0.794 0.896 0.532
Ni11 Ni 0.896 0.794 0.032
Ni12 Ni 0.965 0.539 0.208
```

Values from the calculation:
- ΔE_f (meV per atom) = -235.7
- mass density (kg/m3) = 7312

[3]
Material: Ti6CuNi12
Method: DFT, PBE
State: optimized geometry

```
data_Ti6CuNi12
_chemical_formula_sum 'Ti6 Cu1 Ni12'
_space_group_name_H-M_alt 'P 1'
_space_group_IT_number 1
_cell_length_a 6.284
_cell_length_b 6.284
_cell_length_c 6.284
_cell_angle_alpha 95.59
_cell_angle_beta 95.59
_cell_angle_gamma 95.59
loop_
_space_group_symop_operation_xyz
'x,y,z'
loop_
_atom_site_label
_atom_site_type_symbol
_atom_site_fract_x
_atom_site_fract_y
_atom_site_fract_z
Ti1 Ti 0.192 0.734 0.342
Ti2 Ti 0.266 0.658 0.808
Ti3 Ti 0.342 0.192 0.734
Ti4 Ti 0.658 0.808 0.266
Ti5 Ti 0.734 0.342 0.192
Ti6 Ti 0.808 0.266 0.658
Cu1 Cu 0.500 0.500 0.500
Ni1 Ni 0.003 0.964 0.712
Ni2 Ni 0.036 0.288 0.997
Ni3 Ni 0.125 0.376 0.446
Ni4 Ni 0.288 0.997 0.036
Ni5 Ni 0.376 0.446 0.125
Ni6 Ni 0.446 0.125 0.376
Ni7 Ni 0.554 0.875 0.624
Ni8 Ni 0.624 0.554 0.875
Ni9 Ni 0.712 0.003 0.964
Ni10 Ni 0.875 0.624 0.554
Ni11 Ni 0.964 0.712 0.003
Ni12 Ni 0.997 0.036 0.288
```

Values from the calculation:
- ΔE_f (meV per atom) = -256.4
- mass density (kg/m3) = 7168

[4]
Material: Ti5Cu4Ni2
Method: DFT, PBE
State: optimized geometry

```
data_Ti5Cu4Ni2
_chemical_formula_sum 'Ti10 Cu8 Ni4'
_space_group_name_H-M_alt 'P 1'
_space_group_IT_number 1
_cell_length_a 6.663
_cell_length_b 15.751
_cell_length_c 2.947
_cell_angle_alpha 90.00
_cell_angle_beta 90.00
_cell_angle_gamma 90.00
loop_
_space_group_symop_operation_xyz
'x,y,z'
loop_
_atom_site_label
_atom_site_type_symbol
_atom_site_fract_x
_atom_site_fract_y
_atom_site_fract_z
Ti1 Ti 0.000 0.000 0.000
Ti2 Ti 0.127 0.427 0.000
Ti3 Ti 0.245 0.215 0.000
Ti4 Ti 0.255 0.715 0.000
Ti5 Ti 0.373 0.927 0.000
Ti6 Ti 0.500 0.500 0.000
Ti7 Ti 0.627 0.073 0.000
Ti8 Ti 0.745 0.285 0.000
Ti9 Ti 0.755 0.785 0.000
Ti10 Ti 0.873 0.573 0.000
Cu1 Cu 0.074 0.849 0.500
Cu2 Cu 0.216 0.573 0.500
Cu3 Cu 0.284 0.073 0.500
Cu4 Cu 0.426 0.349 0.500
Cu5 Cu 0.574 0.651 0.500
Cu6 Cu 0.716 0.927 0.500
Cu7 Cu 0.784 0.427 0.500
Cu8 Cu 0.926 0.151 0.500
Ni1 Ni 0.043 0.307 0.500
Ni2 Ni 0.457 0.807 0.500
Ni3 Ni 0.543 0.193 0.500
Ni4 Ni 0.957 0.693 0.500
```

Values from the calculation:
- ΔE_f (meV per atom) = -188.9
- mass density (kg/m3) = 6559

[5]
Material: Ti3Cu3Ni2
Method: DFT, PBE
State: optimized geometry

```
data_Ti3Cu3Ni2
_chemical_formula_sum 'Ti3 Cu3 Ni2'
_space_group_name_H-M_alt 'P 1'
_space_group_IT_number 1
_cell_length_a 6.491
_cell_length_b 6.491
_cell_length_c 3.033
_cell_angle_alpha 90.00
_cell_angle_beta 90.00
_cell_angle_gamma 120.00
loop_
_space_group_symop_operation_xyz
'x,y,z'
loop_
_atom_site_label
_atom_site_type_symbol
_atom_site_fract_x
_atom_site_fract_y
_atom_site_fract_z
Ti1 Ti 0.000 0.412 0.000
Ti2 Ti 0.412 0.000 0.000
Ti3 Ti 0.588 0.588 0.000
Cu1 Cu 0.000 0.769 0.500
Cu2 Cu 0.231 0.231 0.500
Cu3 Cu 0.769 0.000 0.500
Ni1 Ni 0.333 0.667 0.500
Ni2 Ni 0.667 0.333 0.500
```

Values from the calculation:
- ΔE_f (meV per atom) = -210.4
- mass density (kg/m3) = 6778
- energy above the lowest structure with this stoichiometry (meV per atom) = 0

[6]
Material: Ti7CuNi4
Method: DFT, PBE
State: optimized geometry

```
data_Ti7CuNi4
_chemical_formula_sum 'Ti7 Cu1 Ni4'
_space_group_name_H-M_alt 'P 1'
_space_group_IT_number 1
_cell_length_a 6.488
_cell_length_b 6.488
_cell_length_c 7.708
_cell_angle_alpha 122.18
_cell_angle_beta 122.18
_cell_angle_gamma 41.69
loop_
_space_group_symop_operation_xyz
'x,y,z'
loop_
_atom_site_label
_atom_site_type_symbol
_atom_site_fract_x
_atom_site_fract_y
_atom_site_fract_z
Ti1 Ti 0.000 0.000 0.000
Ti2 Ti 0.233 0.233 0.699
Ti3 Ti 0.278 0.278 0.091
Ti4 Ti 0.436 0.436 0.600
Ti5 Ti 0.564 0.564 0.400
Ti6 Ti 0.722 0.722 0.909
Ti7 Ti 0.767 0.767 0.301
Cu1 Cu 0.500 0.500 0.000
Ni1 Ni 0.037 0.037 0.699
Ni2 Ni 0.194 0.194 0.358
Ni3 Ni 0.806 0.806 0.642
Ni4 Ni 0.963 0.963 0.301
```

Values from the calculation:
- ΔE_f (meV per atom) = -74.1
- mass density (kg/m3) = 5932

[7]
Material: Ti2CuNi9
Method: DFT, PBE
State: optimized geometry

```
data_Ti2CuNi9
_chemical_formula_sum 'Ti2 Cu1 Ni9'
_space_group_name_H-M_alt 'P 1'
_space_group_IT_number 1
_cell_length_a 3.593
_cell_length_b 3.593
_cell_length_c 10.728
_cell_angle_alpha 90.00
_cell_angle_beta 90.00
_cell_angle_gamma 90.00
loop_
_space_group_symop_operation_xyz
'x,y,z'
loop_
_atom_site_label
_atom_site_type_symbol
_atom_site_fract_x
_atom_site_fract_y
_atom_site_fract_z
Ti1 Ti 0.000 0.000 0.172
Ti2 Ti 0.000 0.000 0.828
Cu1 Cu 0.000 0.000 0.500
Ni1 Ni 0.000 0.500 0.000
Ni2 Ni 0.000 0.500 0.336
Ni3 Ni 0.000 0.500 0.664
Ni4 Ni 0.500 0.000 0.000
Ni5 Ni 0.500 0.000 0.336
Ni6 Ni 0.500 0.000 0.664
Ni7 Ni 0.500 0.500 0.167
Ni8 Ni 0.500 0.500 0.500
Ni9 Ni 0.500 0.500 0.833
```

Values from the calculation:
- ΔE_f (meV per atom) = -301.4
- mass density (kg/m3) = 8241

[8]
Material: Ti8Cu3Ni
Method: DFT, PBE
State: optimized geometry

```
data_Ti8Cu3Ni
_chemical_formula_sum 'Ti8 Cu3 Ni1'
_space_group_name_H-M_alt 'P 1'
_space_group_IT_number 1
_cell_length_a 2.952
_cell_length_b 2.952
_cell_length_c 21.032
_cell_angle_alpha 90.00
_cell_angle_beta 90.00
_cell_angle_gamma 90.00
loop_
_space_group_symop_operation_xyz
'x,y,z'
loop_
_atom_site_label
_atom_site_type_symbol
_atom_site_fract_x
_atom_site_fract_y
_atom_site_fract_z
Ti1 Ti 0.000 0.000 0.075
Ti2 Ti 0.000 0.000 0.418
Ti3 Ti 0.000 0.000 0.582
Ti4 Ti 0.000 0.000 0.925
Ti5 Ti 0.500 0.500 0.164
Ti6 Ti 0.500 0.500 0.329
Ti7 Ti 0.500 0.500 0.671
Ti8 Ti 0.500 0.500 0.836
Cu1 Cu 0.000 0.000 0.246
Cu2 Cu 0.000 0.000 0.754
Cu3 Cu 0.500 0.500 0.500
Ni1 Ni 0.500 0.500 0.000
```

Values from the calculation:
- ΔE_f (meV per atom) = -161.8
- mass density (kg/m3) = 5727

[9]
Material: TiCu2Ni8
Method: DFT, PBE
State: optimized geometry

```
data_TiCu2Ni8
_chemical_formula_sum 'Ti1 Cu2 Ni8'
_space_group_name_H-M_alt 'P 1'
_space_group_IT_number 1
_cell_length_a 6.968
_cell_length_b 6.968
_cell_length_c 4.333
_cell_angle_alpha 108.00
_cell_angle_beta 108.00
_cell_angle_gamma 124.15
loop_
_space_group_symop_operation_xyz
'x,y,z'
loop_
_atom_site_label
_atom_site_type_symbol
_atom_site_fract_x
_atom_site_fract_y
_atom_site_fract_z
Ti1 Ti 0.000 0.000 0.000
Cu1 Cu 0.317 0.683 0.500
Cu2 Cu 0.683 0.317 0.500
Ni1 Ni 0.103 0.373 0.735
Ni2 Ni 0.194 0.806 0.000
Ni3 Ni 0.373 0.103 0.735
Ni4 Ni 0.490 0.490 0.243
Ni5 Ni 0.510 0.510 0.757
Ni6 Ni 0.627 0.897 0.265
Ni7 Ni 0.806 0.194 0.000
Ni8 Ni 0.897 0.627 0.265
```

Values from the calculation:
- ΔE_f (meV per atom) = 34.2
- mass density (kg/m3) = 8182
- energy above the lowest structure with this stoichiometry (meV per atom) = 0

[10]
Material: TiCuNi14
Method: DFT, PBE
State: optimized geometry

```
data_TiCuNi14
_chemical_formula_sum 'Ti1 Cu1 Ni14'
_space_group_name_H-M_alt 'P 1'
_space_group_IT_number 1
_cell_length_a 5.020
_cell_length_b 5.020
_cell_length_c 7.093
_cell_angle_alpha 90.00
_cell_angle_beta 90.00
_cell_angle_gamma 90.00
loop_
_space_group_symop_operation_xyz
'x,y,z'
loop_
_atom_site_label
_atom_site_type_symbol
_atom_site_fract_x
_atom_site_fract_y
_atom_site_fract_z
Ti1 Ti 0.000 0.000 0.000
Cu1 Cu 0.500 0.500 0.000
Ni1 Ni 0.000 0.000 0.500
Ni2 Ni 0.000 0.500 0.000
Ni3 Ni 0.000 0.500 0.500
Ni4 Ni 0.251 0.251 0.255
Ni5 Ni 0.251 0.251 0.745
Ni6 Ni 0.251 0.749 0.255
Ni7 Ni 0.251 0.749 0.745
Ni8 Ni 0.500 0.000 0.000
Ni9 Ni 0.500 0.000 0.500
Ni10 Ni 0.500 0.500 0.500
Ni11 Ni 0.749 0.251 0.255
Ni12 Ni 0.749 0.251 0.745
Ni13 Ni 0.749 0.749 0.255
Ni14 Ni 0.749 0.749 0.745
```

Values from the calculation:
- ΔE_f (meV per atom) = -78.3
- mass density (kg/m3) = 8668

[11]
Material: TiCu3Ni
Method: DFT, PBE
State: optimized geometry

```
data_TiCu3Ni
_chemical_formula_sum 'Ti1 Cu3 Ni1'
_space_group_name_H-M_alt 'P 1'
_space_group_IT_number 1
_cell_length_a 4.516
_cell_length_b 4.516
_cell_length_c 4.516
_cell_angle_alpha 90.00
_cell_angle_beta 90.00
_cell_angle_gamma 90.00
loop_
_space_group_symop_operation_xyz
'x,y,z'
loop_
_atom_site_label
_atom_site_type_symbol
_atom_site_fract_x
_atom_site_fract_y
_atom_site_fract_z
Ti1 Ti 0.000 0.000 0.000
Cu1 Cu 0.000 0.000 0.500
Cu2 Cu 0.000 0.500 0.000
Cu3 Cu 0.500 0.000 0.000
Ni1 Ni 0.500 0.500 0.500
```

Values from the calculation:
- ΔE_f (meV per atom) = 1477.5
- mass density (kg/m3) = 5357
- energy above the lowest structure with this stoichiometry (meV per atom) = 688

> What is the ΔE_f in the tenth record?

-78.3 meV per atom